[1]
First-principles (PBE) data for a relaxed PrNd2Sm2Er crystal, as listed in the Alexandria database.

E_form: 33.0 kJ/mol of formula units
energy: -4.66 eV/atom
total magnetization: 0.00 μB per formula unit

Lattice parameters (Å, degrees): 5.748 7.107 9.951 90.00 90.00 90.00
Positions (direct):
Pr 0.500 0.258 0.659
Pr 0.500 0.758 0.341
Nd 0.500 0.008 0.000
Nd 0.000 0.258 0.175
Nd 0.500 0.508 0.000
Nd 0.000 0.758 0.825
Sm 0.000 0.258 0.836
Sm 0.500 0.258 0.330
Sm 0.000 0.758 0.164
Sm 0.500 0.758 0.670
Er 0.000 0.008 0.500
Er 0.000 0.508 0.500



[2]
First-principles (PBE) data for a relaxed Pr4NdSm2Er2 crystal, as listed in the Alexandria database.

E_form: 16.6 kJ/mol of formula units
energy: -4.70 eV/atom
total magnetization: 0.00 μB per formula unit

Lattice parameters (Å, degrees): 5.158 8.161 8.135 107.46 90.00 108.42
Positions (direct):
Pr 0.777 0.554 0.670
Pr 0.223 0.446 0.330
Pr 0.554 0.109 0.331
Pr 0.446 0.891 0.669
Nd 0.000 0.000 0.000
Sm 0.888 0.776 0.331
Sm 0.112 0.224 0.669
Er 0.332 0.663 0.001
Er 0.668 0.337 0.999



[3]
First-principles (PBE) data for a relaxed Pr3Nd6SmEr2 crystal, as listed in the Alexandria database.

E_form: 19.1 kJ/mol of formula units
energy: -4.72 eV/atom
total magnetization: 0.01 μB per formula unit

Lattice parameters (Å, degrees): 6.343 6.343 12.099 95.02 95.02 120.01
Positions (direct):
Pr 0.167 0.833 0.500
Pr 0.833 0.167 0.500
Pr 0.500 0.500 0.500
Nd 0.918 0.583 0.755
Nd 0.748 0.748 0.245
Nd 0.082 0.417 0.245
Nd 0.583 0.918 0.755
Nd 0.252 0.252 0.755
Nd 0.417 0.082 0.245
Sm 0.000 0.000 0.000
Er 0.333 0.667 0.000
Er 0.667 0.333 0.000



[4]
First-principles (PBE) data for a relaxed Pr6NdSmEr2 crystal, as listed in the Alexandria database.

E_form: 107.4 kJ/mol of formula units
energy: -4.62 eV/atom
total magnetization: 0.00 μB per formula unit

Lattice parameters (Å, degrees): 9.819 9.000 9.000 117.17 94.14 94.14
Positions (direct):
Pr 0.055 0.109 0.759
Pr 0.445 0.241 0.891
Pr 0.945 0.891 0.241
Pr 0.555 0.759 0.109
Pr 0.316 0.987 0.436
Pr 0.184 0.564 0.013
Pr 0.684 0.013 0.564
Pr 0.816 0.436 0.987
Pr 0.119 0.703 0.489
Pr 0.381 0.511 0.297
Pr 0.881 0.297 0.511
Pr 0.619 0.489 0.703
Nd 0.250 0.407 0.593
Nd 0.750 0.593 0.407
Sm 0.250 0.970 0.030
Sm 0.750 0.030 0.970
Er 0.452 0.803 0.708
Er 0.048 0.292 0.197
Er 0.548 0.197 0.292
Er 0.952 0.708 0.803



[5]
First-principles (PBE) data for a relaxed PrNdSm2Er4 crystal, as listed in the Alexandria database.

E_form: 319.6 kJ/mol of formula units
energy: -4.24 eV/atom
total magnetization: 2.20 μB per formula unit

Lattice parameters (Å, degrees): 9.531 9.531 11.863 128.48 128.48 88.28
Positions (direct):
Pr 0.500 0.500 0.500
Pr 0.000 0.000 0.000
Nd 0.000 0.500 0.000
Nd 0.000 0.500 0.500
Sm 0.500 0.000 0.000
Sm 0.500 0.000 0.500
Sm 0.000 0.000 0.500
Sm 0.500 0.500 0.000
Er 0.252 0.749 0.000
Er 0.751 0.248 0.500
Er 0.249 0.752 0.500
Er 0.748 0.251 0.000
Er 0.750 0.751 0.003
Er 0.749 0.750 0.497
Er 0.251 0.250 0.503
Er 0.250 0.249 0.997



[6]
First-principles (PBE) data for a relaxed Pr6Nd3SmEr2 crystal, as listed in the Alexandria database.

E_form: 16.6 kJ/mol of formula units
energy: -4.72 eV/atom
total magnetization: 0.00 μB per formula unit

Lattice parameters (Å, degrees): 6.364 6.364 12.083 95.04 95.04 120.02
Positions (direct):
Pr 0.917 0.583 0.754
Pr 0.749 0.749 0.246
Pr 0.083 0.417 0.246
Pr 0.583 0.917 0.754
Pr 0.251 0.251 0.754
Pr 0.417 0.083 0.246
Nd 0.167 0.833 0.500
Nd 0.833 0.167 0.500
Nd 0.500 0.500 0.500
Sm 0.000 0.000 0.000
Er 0.333 0.667 0.000
Er 0.667 0.333 0.000



[7]
First-principles (PBE) data for a relaxed Pr4Nd2SmEr crystal, as listed in the Alexandria database.

E_form: 9.9 kJ/mol of formula units
energy: -4.73 eV/atom
total magnetization: 0.00 μB per formula unit

Lattice parameters (Å, degrees): 5.210 5.186 11.572 63.28 90.00 90.00
Positions (direct):
Pr 0.000 0.753 0.748
Pr 0.000 0.247 0.252
Pr 0.500 0.749 0.251
Pr 0.500 0.251 0.749
Nd 0.000 0.000 0.000
Nd 0.500 0.000 0.500
Sm 0.500 0.500 0.000
Er 0.000 0.500 0.500



[8]
First-principles (PBE) data for a relaxed Tb2PrNdEr2 crystal, as listed in the Alexandria database.

E_form: 160.0 kJ/mol of formula units
energy: -4.38 eV/atom
total magnetization: 0.00 μB per formula unit

Lattice parameters (Å, degrees): 3.416 6.574 17.982 90.00 90.00 90.00
Positions (direct):
Tb 0.500 0.277 0.313
Tb 0.000 0.777 0.187
Tb 0.500 0.723 0.687
Tb 0.000 0.223 0.813
Pr 0.000 0.000 0.000
Pr 0.500 0.500 0.500
Nd 0.500 0.500 0.000
Nd 0.000 0.000 0.500
Er 0.500 0.779 0.351
Er 0.500 0.221 0.649
Er 0.000 0.721 0.851
Er 0.000 0.279 0.149